DFT (PBE) results for a geometry-optimized MgOsRh2 structure.

Output
Total energy   -6.658 eV/atom
SG   Cmm2, No. 35
Energy of formation   224 meV per atom
Density of states at the Fermi level   5.71 states/eV/cell

Unit cell a=2.728 b=2.728 c=9.061 alpha=90.00 beta=90.00 gamma=117.46
Fractional positions:
Rh  0.000  0.000  0.999
Rh  0.500  0.500  0.254
Mg  0.000  0.000  0.495
Os  0.500  0.500  0.753